{"formula": "Dy2ThSc", "functional": "PBE", "state": "optimized geometry", "polymorph_energy_mev_per_atom": 11, "delta_e_f_ev_per_atom": 0.043, "dos_ef_per_ev_cell": 5.164, "lattice": [[4.878, 0.000, 0.000], [0.000, 4.878, 0.000], [0.000, 0.000, 5.003]], "species": ["Dy", "Dy", "Th", "Sc"], "frac_coords": [[0.000, 0.500, 0.000], [0.500, 0.000, 0.000], [0.000, 0.000, 0.500], [0.500, 0.500, 0.500]]}